1.
Density functional theory data (PBE) for a relaxed Ca2LaZr crystal.

The structure belongs to space group I4/mmm (No. 139); the cell edges are 4.944, 4.944 and 10.839 Å and the angles 90.00°, 90.00° and 90.00°. Symmetry generates all atoms from Ca at (0.000, 0.500, 0.250), La at (0.000, 0.000, 0.000) and Zr at (0.000, 0.000, 0.500).

The energy is -4.02 eV/atom.

=====

2.
Density functional theory data (PBE) for a relaxed Ca2LaZr crystal.

The structure belongs to space group R-3m (No. 166, hexagonal axes); the cell edges are 3.5357, 3.5357 and 36.5801 Å and the angles 90.00°, 90.00° and 120.00°. Symmetry generates all atoms from Ca at (0.0000, 0.0000, 0.2429), La at (0.0000, 0.0000, 0.0000) and Zr at (0.0000, 0.0000, 0.5000).

The energy is -4.09 eV/atom.

=====

3.
Density functional theory data (PBE) for a relaxed Ca2LaZr crystal.

The structure belongs to space group R3m (No. 160, hexagonal axes); the cell edges are 3.6073, 3.6073 and 36.4040 Å and the angles 90.00°, 90.00° and 120.00°. Symmetry generates all atoms from Ca at (0.0000, 0.0000, 0.0000), Ca at (0.0000, 0.0000, 0.2418), La at (0.0000, 0.0000, 0.7591) and Zr at (0.0000, 0.0000, 0.4980).

The energy is -4.17 eV/atom.

=====

4.
Density functional theory data (PBE) for a relaxed CaLa2Zr crystal.

The structure belongs to space group Imm2 (No. 44); the cell edges are 3.709, 5.923 and 12.162 Å and the angles 90.00°, 90.00° and 90.00°. Symmetry generates all atoms from Ca at (0.000, 0.000, 0.000), La at (0.000, 0.000, 0.545), La at (0.000, 0.500, 0.774) and Zr at (0.000, 0.500, 0.266).

The energy is -4.84 eV/atom.

=====

5.
Density functional theory data (PBE) for a relaxed Ca2LaZr crystal.

The structure belongs to space group Pmm2 (No. 25); the cell edges are 3.647, 4.593 and 8.227 Å and the angles 90.00°, 90.00° and 90.00°. Symmetry generates all atoms from Ca at (0.000, 0.000, 0.000), Ca at (0.500, 0.500, 0.300), La at (0.500, 0.500, 0.720) and Zr at (0.000, 0.000, 0.547).

The energy is -4.13 eV/atom.

=====

6.
Density functional theory data (PBE) for a relaxed Ca2LaZr crystal.

The structure belongs to space group P4mm (No. 99); the cell edges are 3.557, 3.557 and 10.877 Å and the angles 90.00°, 90.00° and 90.00°. Symmetry generates all atoms from Ca at (0.000, 0.000, 0.000), Ca at (0.500, 0.500, 0.279), La at (0.000, 0.000, 0.561) and Zr at (0.500, 0.500, 0.768).

The energy is -4.19 eV/atom.

=====

no.,calculated density (g cm⁻³)
1,3.89
2,3.90
3,3.77
4,5.09
5,3.74
6,3.74